# PBE with a Hubbard U Bi2WBrO, relaxed
# - Calculated volume: 26.45 Å³/atom
# - Space-group type: P4/mmm
# - E_tot: -4.160 eV per atom
# - Spin magnetization: 2.35 μB per formula unit
data_Bi2WBrO
_space_group_name_H-M_alt 'P 1'
_space_group_IT_number 1
_cell_length_a 5.8679
_cell_length_b 3.8414
_cell_length_c 5.8679
_cell_angle_alpha 90.00
_cell_angle_beta 90.00
_cell_angle_gamma 90.00
loop_
_space_group_symop_operation_xyz
'x,y,z'
loop_
_atom_site_label
_atom_site_fract_x
_atom_site_fract_y
_atom_site_fract_z
O1 0.0000 0.0000 0.0000
Br1 0.5000 0.5000 0.5000
Bi1 0.0000 0.0000 0.5000
Bi2 0.5000 0.0000 0.0000
W1 0.0000 0.5000 0.0000